Material: LaTa3Sb
Method: DFT, meta-GGA SCAN
State: single point on PBEsol structure

Unit cell a=5.074 b=5.074 c=5.074 alpha=90.00 beta=90.00 gamma=90.00
Atoms (fractional coordinates):
La 0.000 0.000 0.000
Ta 0.000 0.500 0.500
Ta 0.500 0.000 0.500
Ta 0.500 0.500 0.000
Sb 0.500 0.500 0.500

## Properties
Total magnetization, μB per atom: 0.000
Formation energy without anion corrections, meV per atom: 1365